Material: Nb3ZnAu
Method: DFT, PBE
State: optimized geometry

Lattice parameters (Å, degrees): 7.0186 7.0186 7.0186 90.00 90.00 90.00
Atoms (fractional coordinates):
Nb 0.0475 0.1205 0.7926
Nb 0.1205 0.7926 0.0475
Nb 0.2074 0.5475 0.3795
Nb 0.2926 0.4525 0.8795
Nb 0.3795 0.2074 0.5475
Nb 0.4525 0.8795 0.2926
Nb 0.5475 0.3795 0.2074
Nb 0.6205 0.7074 0.9525
Nb 0.7074 0.9525 0.6205
Nb 0.7926 0.0475 0.1205
Nb 0.8795 0.2926 0.4525
Nb 0.9525 0.6205 0.7074
Zn 0.0634 0.9366 0.4366
Zn 0.4366 0.0634 0.9366
Zn 0.5634 0.5634 0.5634
Zn 0.9366 0.4366 0.0634
Au 0.1853 0.1853 0.1853
Au 0.3147 0.8147 0.6853
Au 0.6853 0.3147 0.8147
Au 0.8147 0.6853 0.3147

Magnetization ... 0.00 μB/atom
E_form ... -0.09 eV per atom
Space-group type ... P2_13 (198)
Fermi-level density of states ... 0.72 states/eV per atom
Energy above the most stable polymorph in this dataset ... 0.000 eV/atom

Material: ErTeIO4
Method: DFT, PBE
State: optimized geometry

Lattice parameters (Å, degrees): 6.6870 6.6870 6.9388 103.12 103.12 63.64
Atoms (fractional coordinates):
Er 0.2455 0.2455 0.3677
Er 0.7545 0.7545 0.6323
Te 0.1293 0.1293 0.7630
Te 0.8707 0.8707 0.2370
I 0.4986 0.4986 0.7529
I 0.5014 0.5014 0.2471
O 0.0154 0.3902 0.6366
O 0.0398 0.0398 0.3064
O 0.1995 0.1995 0.0350
O 0.3902 0.0154 0.6366
O 0.6098 0.9846 0.3634
O 0.8005 0.8005 0.9650
O 0.9602 0.9602 0.6936
O 0.9846 0.6098 0.3634

Magnetization ... 0.00 μB/atom
Space-group type ... C2/m (12)
Formation energy (no corrections) ... -1.584 eV/atom
Fermi-level density of states ... 0.27 states/eV per atom

Material: RhW3Br
Method: DFT, PBE
State: optimized geometry

Lattice parameters (Å, degrees): 4.5488 4.5488 4.5488 90.00 90.00 90.00
Atoms (fractional coordinates):
Rh 0.0000 0.0000 0.0000
W 0.0000 0.5000 0.5000
W 0.5000 0.0000 0.5000
W 0.5000 0.5000 0.0000
Br 0.5000 0.5000 0.5000

Magnetization ... 0.00 μB/atom
Space-group type ... Pm-3m (221)
Formation energy (no corrections) ... 2.218 eV/atom
Fermi-level density of states ... 1.66 states/eV per atom
Energy above the most stable polymorph in this dataset ... 0.000 eV/atom

Material: WN2Cl
Method: DFT, PBE
State: optimized geometry

Lattice parameters (Å, degrees): 3.8752 3.8752 3.8752 60.00 60.00 60.00
Atoms (fractional coordinates):
W 0.0000 0.0000 0.0000
N 0.2500 0.2500 0.2500
N 0.7500 0.7500 0.7500
Cl 0.5000 0.5000 0.5000

Magnetization ... 0.00 μB/atom
Space-group type ... Fm-3m (225)
Formation energy (no corrections) ... 1.742 eV/atom
Fermi-level density of states ... 0.57 states/eV per atom
Energy above the most stable polymorph in this dataset ... 1.673 eV/atom

Material: Na2LiNp3Se6
Method: DFT, PBE
State: optimized geometry

Lattice parameters (Å, degrees): 7.2057 7.2057 7.2265 99.60 99.60 119.98
Atoms (fractional coordinates):
Na 0.1658 0.8342 0.0000
Na 0.8342 0.1658 0.0000
Li 0.5000 0.5000 0.0000
Np 0.0000 0.0000 0.5000
Np 0.3319 0.6681 0.5000
Np 0.6681 0.3319 0.5000
Se 0.0857 0.4134 0.7393
Se 0.2597 0.2597 0.2630
Se 0.4134 0.0857 0.7393
Se 0.5866 0.9143 0.2607
Se 0.7403 0.7403 0.7370
Se 0.9143 0.5866 0.2607

Magnetization ... 1.00 μB/atom
Space-group type ... C2/m (12)
Formation energy (no corrections) ... -1.197 eV/atom
Fermi-level density of states ... 2.63 states/eV per atom

Please write out number 4 again, unchanged.
Material: WN2Cl
Method: DFT, PBE
State: optimized geometry

Lattice parameters (Å, degrees): 3.8752 3.8752 3.8752 60.00 60.00 60.00
Atoms (fractional coordinates):
W 0.0000 0.0000 0.0000
N 0.2500 0.2500 0.2500
N 0.7500 0.7500 0.7500
Cl 0.5000 0.5000 0.5000

Magnetization ... 0.00 μB/atom
Space-group type ... Fm-3m (225)
Formation energy (no corrections) ... 1.742 eV/atom
Fermi-level density of states ... 0.57 states/eV per atom
Energy above the most stable polymorph in this dataset ... 1.673 eV/atom